# HfMgNbHg2 (GGA-PBEsol, relaxed)
data_HfMgNbHg2
_symmetry_space_group_name_H-M 'P 1'
_symmetry_Int_Tables_number 1
_symmetry_space_group_name_Hall 'P 1'
_cell_length_a 4.970
_cell_length_b 5.125
_cell_length_c 5.125
_cell_angle_alpha 90.00
_cell_angle_beta 90.00
_cell_angle_gamma 90.00
loop_
_atom_site_label
_atom_site_type_symbol
_atom_site_fract_x
_atom_site_fract_y
_atom_site_fract_z
_atom_site_occupancy
Mg1 Mg 0.500 0.000 0.000 1
Nb1 Nb 0.000 0.000 0.000 1
Hf1 Hf 0.500 0.500 0.500 1
Hg1 Hg 0.000 0.000 0.500 1
Hg2 Hg 0.000 0.500 0.000 1
# Uncorrected energy   -3.520 eV per atom
# DOS(E_F)   7.1 states/eV/f.u.
# E_form   1.315 eV per atom
# SG   P4/mmm (123)

# Tb4Si7 (GGA-PBEsol, relaxed)
data_Tb4Si7
_symmetry_space_group_name_H-M 'P 1'
_symmetry_Int_Tables_number 1
_symmetry_space_group_name_Hall 'P 1'
_cell_length_a 5.629
_cell_length_b 5.629
_cell_length_c 13.488
_cell_angle_alpha 89.67
_cell_angle_beta 89.67
_cell_angle_gamma 88.21
loop_
_atom_site_label
_atom_site_type_symbol
_atom_site_fract_x
_atom_site_fract_y
_atom_site_fract_z
_atom_site_occupancy
Tb1 Tb 0.876 0.377 0.126 1
Tb2 Tb 0.623 0.124 0.874 1
Tb3 Tb 0.877 0.877 0.627 1
Tb4 Tb 0.123 0.123 0.373 1
Tb5 Tb 0.377 0.876 0.126 1
Tb6 Tb 0.124 0.623 0.874 1
Tb7 Tb 0.374 0.374 0.628 1
Tb8 Tb 0.626 0.626 0.372 1
Si1 Si 0.860 0.392 0.715 1
Si2 Si 0.608 0.140 0.285 1
Si3 Si 0.878 0.878 0.205 1
Si4 Si 0.122 0.122 0.795 1
Si5 Si 0.392 0.860 0.715 1
Si6 Si 0.140 0.608 0.285 1
Si7 Si 0.375 0.375 0.169 1
Si8 Si 0.625 0.625 0.831 1
Si9 Si 0.876 0.373 0.542 1
Si10 Si 0.627 0.124 0.458 1
Si11 Si 0.856 0.856 0.031 1
Si12 Si 0.144 0.144 0.969 1
Si13 Si 0.373 0.876 0.542 1
Si14 Si 0.124 0.627 0.458 1
# Uncorrected energy   -6.166 eV per atom
# DOS(E_F)   4.3 states/eV/f.u.
# SG   C2/m (12)
# Energy relative to the elements, uncorrected   -0.687 eV per atom

# KNi2Cl (GGA-PBEsol, relaxed)
data_KNi2Cl
_symmetry_space_group_name_H-M 'P 1'
_symmetry_Int_Tables_number 1
_symmetry_space_group_name_Hall 'P 1'
_cell_length_a 3.175
_cell_length_b 3.175
_cell_length_c 7.083
_cell_angle_alpha 90.00
_cell_angle_beta 90.00
_cell_angle_gamma 90.00
loop_
_atom_site_label
_atom_site_type_symbol
_atom_site_fract_x
_atom_site_fract_y
_atom_site_fract_z
_atom_site_occupancy
Ni1 Ni 0.000 0.000 0.097 1
Ni2 Ni 0.500 0.500 0.205 1
K1 K 0.500 0.500 0.739 1
Cl1 Cl 0.000 0.000 0.459 1
# Polymorph energy (0 for the lowest one)   0.0000 eV per atom
# Uncorrected energy   -3.793 eV per atom
# DOS(E_F)   5.2 states/eV/f.u.
# SG   P4mm (99)
# Energy relative to the elements, uncorrected   0.071 eV per atom